{"formula": "MnPRuCN", "functional": "PBE", "state": "optimized geometry", "vol_a3_per_atom": 12.5, "crystal_system": "monoclinic", "mass_density_g_cm3": 5.7, "e_form_raw_ev_per_atom": 0.279, "de_polymorph_ev_per_atom": 0.2455, "lattice": [[5.195, -1.430, 0.000], [5.195, 1.430, 0.000], [-0.913, 0.000, 4.207]], "species": ["Mn", "P", "Ru", "C", "N"], "frac_coords": [[0.000, 0.000, 0.000], [0.613, 0.613, 0.397], [0.739, 0.739, 0.938], [0.365, 0.365, 0.012], [0.542, 0.542, 0.722]]}